Here is a geometry-optimized HfTiNb4 structure from Alexandria via LeMat-Bulk. Energies are from PBE-GGA.

a = 7.7634 Å, b = 7.7634 Å, c = 7.7634 Å
α = 90.00°, β = 90.00°, γ = 90.00°
Last column: nearest neighbours and their distance in Å.
Space group F-43m (No. 216)
Symmetry-distinct sites (fractional):
Hf1 0.0000 0.0000 0.0000  12 Nb 3.22, 4 Ti 3.36
Ti1 0.2500 0.2500 0.2500  12 Nb 3.22, 4 Hf 3.36
Nb1 0.1251 0.1251 0.6251  6 Nb 2.74-2.75

Values from the calculation:
- offset from the most stable computed form (meV per atom) = 101
- DFT total energy (eV per cell) = -229.384
- spin magnetization (μB/f.u.) = 0.01



Here is a geometry-optimized ZrGaBi structure from Alexandria via LeMat-Bulk. Energies are from PBE-GGA.

a = 4.6900 Å, b = 4.6900 Å, c = 3.8477 Å
α = 90.00°, β = 90.00°, γ = 120.00°
Last column: nearest neighbours and their distance in Å.
Space group P3m1 (No. 156)
Symmetry-distinct sites (fractional):
Zr1 0.0000 0.0000 0.0000  3 Ga 2.74
Ga1 0.6667 0.3333 0.1157  3 Zr 2.74
Bi1 0.3333 0.6667 0.5375  6 Ga 3.16-3.50, 6 Zr 3.24-3.41

Values from the calculation:
- offset from the most stable computed form (meV per atom) = 378
- DFT total energy (eV per cell) = -15.286
- spin magnetization (μB/f.u.) = 0.00



Here is a geometry-optimized CaAgOs structure from Alexandria via LeMat-Bulk. Energies are from PBE-GGA.

a = 3.4649 Å, b = 3.4649 Å, c = 10.1688 Å
α = 90.00°, β = 90.00°, γ = 90.00°
Last column: nearest neighbours and their distance in Å.
Space group I4mm (No. 107)
Symmetry-distinct sites (fractional):
Ca1 0.0000 0.0000 0.0000  5 Ag 3.06-3.18, 5 Os 3.11-3.17
Ag1 0.0000 0.0000 0.6989  4 Os 2.71
Os1 0.0000 0.0000 0.3117  4 Ag 2.71

Values from the calculation:
- offset from the most stable computed form (meV per atom) = 138
- DFT total energy (eV per cell) = -28.136
- spin magnetization (μB/f.u.) = 0.00



Number 1: formation energy 0.78 eV per formula unit, density 8.489 g/cm3. Number 2: formation energy 0.17 eV per formula unit, density 8.381 g/cm3. Number 3: formation energy 2.01 eV per formula unit, density 9.200 g/cm3.